No. 1
The following is a PBE-GGA calculation of BaScRe2 after structural relaxation, from Alexandria via LeMat-Bulk.

**Polymorph energy (0 for the lowest one)**: 344 meV per atom
**Electronic total energy**: -7.643 eV/atom
**Energy of formation from the pure elements**: 249 kJ/mol of formula units

Cell lengths 3.6873, 3.6873, 7.2264 Å; angles 90.00, 90.00, 90.00 degrees
Space group P4/mmm (No. 123)
Unique sites:
Ba  0.0000  0.0000  0.0000
Sc  0.0000  0.0000  0.5000
Re  0.5000  0.5000  0.3416

No. 2
The following is a PBE-GGA calculation of BaScRe2 after structural relaxation, from Alexandria via LeMat-Bulk.

**Polymorph energy (0 for the lowest one)**: 951 meV per atom
**Electronic total energy**: -7.036 eV/atom
**Energy of formation from the pure elements**: 483 kJ/mol of formula units

Cell lengths 3.9789, 3.9789, 10.2645 Å; angles 90.00, 90.00, 90.00 degrees
Space group I4/mmm (No. 139)
Unique sites:
Ba  0.0000  0.0000  0.0000
Sc  0.0000  0.0000  0.5000
Re  0.0000  0.5000  0.2500

No. 3
The following is a PBE-GGA calculation of BaScRe2 after structural relaxation, from Alexandria via LeMat-Bulk.

**Polymorph energy (0 for the lowest one)**: 170 meV per atom
**Electronic total energy**: -7.818 eV/atom
**Energy of formation from the pure elements**: 181 kJ/mol of formula units

Cell lengths 3.0609, 4.0662, 7.8890 Å; angles 90.00, 92.66, 90.00 degrees
Space group Pm (No. 6)
Unique sites:
Ba  0.0000  0.0000  0.0000
Sc  0.8924  0.5000  0.6242
Re  0.2873  0.0000  0.4265
Re  0.6255  0.5000  0.3142

No. 4
The following is a PBE-GGA calculation of Ba2ScRe after structural relaxation, from Alexandria via LeMat-Bulk.

**Polymorph energy (0 for the lowest one)**: 38 meV per atom
**Electronic total energy**: -5.122 eV/atom
**Energy of formation from the pure elements**: 206 kJ/mol of formula units

Cell lengths 8.0762, 4.6551, 8.8254 Å; angles 90.00, 107.66, 90.00 degrees
Space group Cm (No. 8)
Unique sites:
Ba  0.0000  0.0000  0.0000
Ba  0.1720  0.0000  0.5203
Sc  0.4191  0.0000  0.2607
Re  0.2529  0.5000  0.2621

No. 5
The following is a PBE-GGA calculation of BaScRe2 after structural relaxation, from Alexandria via LeMat-Bulk.

**Polymorph energy (0 for the lowest one)**: 234 meV per atom
**Electronic total energy**: -7.754 eV/atom
**Energy of formation from the pure elements**: 206 kJ/mol of formula units

Cell lengths 3.7938, 4.7516, 12.5330 Å; angles 90.00, 90.00, 90.00 degrees
Space group Imm2 (No. 44)
Unique sites:
Ba  0.0000  0.0000  0.0000
Sc  0.0000  0.5000  0.2430
Re  0.0000  0.0000  0.3593
Re  0.0000  0.5000  0.7479

No. 6
The following is a PBE-GGA calculation of BaScRe2 after structural relaxation, from Alexandria via LeMat-Bulk.

**Polymorph energy (0 for the lowest one)**: 746 meV per atom
**Electronic total energy**: -7.242 eV/atom
**Energy of formation from the pure elements**: 404 kJ/mol of formula units

Cell lengths 6.8558, 6.8558, 6.8558 Å; angles 90.00, 90.00, 90.00 degrees
Space group F-43m (No. 216)
Unique sites:
Ba  0.0000  0.0000  0.0000
Sc  0.2500  0.2500  0.2500
Re  0.0000  0.0000  0.5000
Re  0.2500  0.2500  0.7500

No. 7
The following is a PBE-GGA calculation of BaSc2Re after structural relaxation, from Alexandria via LeMat-Bulk.

**Polymorph energy (0 for the lowest one)**: 242 meV per atom
**Electronic total energy**: -6.370 eV/atom
**Energy of formation from the pure elements**: 150 kJ/mol of formula units

Cell lengths 3.3186, 3.3186, 32.4417 Å; angles 90.00, 90.00, 120.00 degrees
Space group R-3m (No. 166, hexagonal axes)
Unique sites:
Ba  0.0000  0.0000  0.0000
Sc  0.0000  0.0000  0.1072
Re  0.0000  0.0000  0.5000

No. 8
The following is a PBE-GGA calculation of Ba2ScRe after structural relaxation, from Alexandria via LeMat-Bulk.

**Polymorph energy (0 for the lowest one)**: 604 meV per atom
**Electronic total energy**: -4.556 eV/atom
**Energy of formation from the pure elements**: 425 kJ/mol of formula units

Cell lengths 3.4983, 3.4983, 10.6546 Å; angles 90.00, 90.00, 90.00 degrees
Space group P4/mmm (No. 123)
Unique sites:
Ba  0.0000  0.0000  0.2032
Sc  0.5000  0.5000  0.5000
Re  0.5000  0.5000  0.0000

No. 9
The following is a PBE-GGA calculation of BaScRe2 after structural relaxation, from Alexandria via LeMat-Bulk.

**Polymorph energy (0 for the lowest one)**: 821 meV per atom
**Electronic total energy**: -7.166 eV/atom
**Energy of formation from the pure elements**: 433 kJ/mol of formula units

Cell lengths 5.7554, 10.0046, 2.9704 Å; angles 90.00, 112.17, 90.00 degrees
Space group C2/m (No. 12)
Unique sites:
Ba  0.0000  0.0000  0.0000
Sc  0.0000  0.5000  0.0000
Re  0.2500  0.2500  0.5000

No. 10
The following is a PBE-GGA calculation of BaSc2Re after structural relaxation, from Alexandria via LeMat-Bulk.

**Polymorph energy (0 for the lowest one)**: 0 meV per atom
**Electronic total energy**: -6.612 eV/atom
**Energy of formation from the pure elements**: 57 kJ/mol of formula units

Cell lengths 3.3577, 3.3588, 9.5068 Å; angles 90.00, 90.43, 90.00 degrees
Space group P2/m (No. 10)
Unique sites:
Ba  0.0000  0.0000  0.0000
Sc  0.5000  0.5000  0.3418
Re  0.0000  0.0000  0.5000

No. 11
The following is a PBE-GGA calculation of Ba2ScRe after structural relaxation, from Alexandria via LeMat-Bulk.

**Polymorph energy (0 for the lowest one)**: 253 meV per atom
**Electronic total energy**: -4.907 eV/atom
**Energy of formation from the pure elements**: 289 kJ/mol of formula units

Cell lengths 3.7041, 3.7041, 33.7736 Å; angles 90.00, 90.00, 120.00 degrees
Space group R3m (No. 160, hexagonal axes)
Unique sites:
Ba  0.0000  0.0000  0.0000
Ba  0.0000  0.0000  0.2151
Sc  0.0000  0.0000  0.7632
Re  0.0000  0.0000  0.4797

No. 12
The following is a PBE-GGA calculation of BaSc2Re after structural relaxation, from Alexandria via LeMat-Bulk.

**Polymorph energy (0 for the lowest one)**: 245 meV per atom
**Electronic total energy**: -6.366 eV/atom
**Energy of formation from the pure elements**: 151 kJ/mol of formula units

Cell lengths 3.3380, 4.5548, 15.5918 Å; angles 90.00, 90.00, 90.00 degrees
Space group Imm2 (No. 44)
Unique sites:
Ba  0.0000  0.0000  0.0000
Sc  0.0000  0.0000  0.3144
Sc  0.0000  0.5000  0.1806
Re  0.0000  0.5000  0.6844